A relaxed structure of Te2HPtI. Source: Alexandria via LeMat-Bulk, functional PBE-GGA.

Values from the calculation:
Relative energy among the computed polymorphs (eV per formula unit): 2.560
E (eV/atom): -2.77
Magnetization (Bohr magnetons per cell): 0.0

Cell lengths 4.189, 4.189, 7.871 Å; angles 90.00, 90.00, 90.00 degrees
Space group P4/mmm (No. 123)
Inequivalent atoms, fractional coordinates:
Te: 0.000 0.500 0.000 x2
H: 0.000 0.000 0.000 x1
Pt: 0.500 0.500 0.500 x1
I: 0.000 0.000 0.500 x1

---

A relaxed structure of Cs2TaNiS4. Source: Alexandria via LeMat-Bulk, functional PBE-GGA.

Values from the calculation:
E (eV/atom): -5.57
Magnetization (Bohr magnetons per cell): 8.1
Formation energy without anion corrections (eV/atom): -1.088

Cell lengths 5.613, 14.490, 24.970 Å; angles 90.00, 90.00, 90.00 degrees
Space group Fddd (No. 70, origin choice 2)
Inequivalent atoms, fractional coordinates:
Cs: 0.125 0.125 0.300 x16
Ta: 0.125 0.125 0.625 x8
Ni: 0.125 0.125 0.125 x8
S: 0.122 0.284 0.425 x32

---

A relaxed structure of Sr2TmPaO6. Source: Alexandria via LeMat-Bulk, functional PBE-GGA.

Values from the calculation:
E (eV/atom): -8.12
Magnetization (Bohr magnetons per cell): 0.0
Formation energy without anion corrections (eV/atom): -3.410

Cell lengths 5.986, 6.112, 10.415 Å; angles 90.00, 124.94, 90.00 degrees
Space group P2_1/c (No. 14)
Inequivalent atoms, fractional coordinates:
Sr: 0.238 0.042 0.249 x4
Tm: 0.000 0.000 0.500 x2
Pa: 0.500 0.000 0.000 x2
O: 0.156 0.202 0.949 x4
O: 0.244 0.709 0.946 x4
O: 0.351 0.037 0.753 x4

---

> Among the records above, which one has the highest magnetization?

Cs2TaNiS4

---

> Look up the E of the second one.

-5.57 eV/atom

---

> magnetization of number 3 (Sr2TmPaO6)?

0.0 Bohr magnetons per cell